1.
Material: CuPb5
Method: DFT, PBE
State: optimized geometry

Cell and atoms, written as CIF:
```
data_CuPb5
_chemical_formula_sum 'Cu1 Pb5'
_cell_length_a 6.052
_cell_length_b 6.052
_cell_length_c 5.458
_cell_angle_alpha 90.00
_cell_angle_beta 90.00
_cell_angle_gamma 120.00
_symmetry_space_group_name_H-M 'P 1'
_symmetry_Int_Tables_number 1
loop_
_symmetry_equiv_pos_as_xyz
'x,y,z'
loop_
_atom_site_label
_atom_site_fract_x
_atom_site_fract_y
_atom_site_fract_z
_atom_site_occupancy
Cu1 0.000 0.000 0.500 1
Pb1 0.683 0.000 0.000 1
Pb2 0.317 0.317 0.000 1
Pb3 0.000 0.683 0.000 1
Pb4 0.667 0.333 0.500 1
Pb5 0.333 0.667 0.500 1
```

Calculated values
formation energy from the elements: 0.200 eV per atom
total magnetic moment: 0.000 μB/f.u.
offset from the most stable computed form: 93 meV/atom



2.
Material: SrAc3Rh8
Method: DFT, PBE
State: optimized geometry

Cell and atoms, written as CIF:
```
data_SrAc3Rh8
_chemical_formula_sum 'Sr1 Ac3 Rh8'
_cell_length_a 5.527
_cell_length_b 5.527
_cell_length_c 9.626
_cell_angle_alpha 73.31
_cell_angle_beta 73.31
_cell_angle_gamma 60.00
_symmetry_space_group_name_H-M 'P 1'
_symmetry_Int_Tables_number 1
loop_
_symmetry_equiv_pos_as_xyz
'x,y,z'
loop_
_atom_site_label
_atom_site_fract_x
_atom_site_fract_y
_atom_site_fract_z
_atom_site_occupancy
Sr1 0.874 0.874 0.378 1
Ac1 0.376 0.376 0.872 1
Ac2 0.997 0.997 0.008 1
Ac3 0.503 0.503 0.492 1
Rh1 0.939 0.437 0.187 1
Rh2 0.436 0.938 0.688 1
Rh3 0.437 0.437 0.187 1
Rh4 0.938 0.938 0.688 1
Rh5 0.187 0.187 0.438 1
Rh6 0.688 0.688 0.937 1
Rh7 0.437 0.939 0.187 1
Rh8 0.938 0.436 0.688 1
```

Calculated values
formation energy from the elements: -0.507 eV per atom
total magnetic moment: 0.000 μB/f.u.



3.
Material: Gd3Sn
Method: DFT, PBE
State: optimized geometry

Cell and atoms, written as CIF:
```
data_Gd3Sn
_chemical_formula_sum 'Gd3 Sn1'
_cell_length_a 3.586
_cell_length_b 5.880
_cell_length_c 6.552
_cell_angle_alpha 116.66
_cell_angle_beta 105.88
_cell_angle_gamma 90.00
_symmetry_space_group_name_H-M 'P 1'
_symmetry_Int_Tables_number 1
loop_
_symmetry_equiv_pos_as_xyz
'x,y,z'
loop_
_atom_site_label
_atom_site_fract_x
_atom_site_fract_y
_atom_site_fract_z
_atom_site_occupancy
Gd1 0.269 0.608 0.538 1
Gd2 0.500 0.479 0.000 1
Gd3 0.731 0.071 0.462 1
Sn1 0.000 0.008 0.000 1
```

Calculated values
formation energy from the elements: -0.356 eV per atom
total magnetic moment: 22.128 μB/f.u.



4.
Material: CuRuPb
Method: DFT, PBE
State: optimized geometry

Cell and atoms, written as CIF:
```
data_CuRuPb
_chemical_formula_sum 'Cu1 Ru1 Pb1'
_cell_length_a 4.313
_cell_length_b 4.313
_cell_length_c 3.189
_cell_angle_alpha 90.00
_cell_angle_beta 90.00
_cell_angle_gamma 120.00
_symmetry_space_group_name_H-M 'P 1'
_symmetry_Int_Tables_number 1
loop_
_symmetry_equiv_pos_as_xyz
'x,y,z'
loop_
_atom_site_label
_atom_site_fract_x
_atom_site_fract_y
_atom_site_fract_z
_atom_site_occupancy
Cu1 0.000 0.000 0.988 1
Pb1 0.333 0.667 0.300 1
Ru1 0.667 0.333 0.712 1
```

Calculated values
formation energy from the elements: 0.523 eV per atom
total magnetic moment: 0.000 μB/f.u.
offset from the most stable computed form: 42 meV/atom



5.
Material: BaZr2Al
Method: DFT, PBE
State: optimized geometry

Cell and atoms, written as CIF:
```
data_BaZr2Al
_chemical_formula_sum 'Ba2 Zr4 Al2'
_cell_length_a 5.166
_cell_length_b 5.166
_cell_length_c 11.124
_cell_angle_alpha 76.57
_cell_angle_beta 76.57
_cell_angle_gamma 90.00
_symmetry_space_group_name_H-M 'P 1'
_symmetry_Int_Tables_number 1
loop_
_symmetry_equiv_pos_as_xyz
'x,y,z'
loop_
_atom_site_label
_atom_site_fract_x
_atom_site_fract_y
_atom_site_fract_z
_atom_site_occupancy
Ba1 0.000 0.000 0.000 1
Ba2 0.750 0.250 0.500 1
Zr1 0.410 0.125 0.250 1
Zr2 0.340 0.625 0.250 1
Zr3 0.375 0.590 0.750 1
Zr4 0.875 0.660 0.750 1
Al1 0.500 0.500 0.000 1
Al2 0.250 0.750 0.500 1
```

Calculated values
formation energy from the elements: 0.675 eV per atom
total magnetic moment: 0.000 μB/f.u.



6.
Material: Nb2SnP
Method: DFT, PBE
State: optimized geometry

Cell and atoms, written as CIF:
```
data_Nb2SnP
_chemical_formula_sum 'Nb2 Sn1 P1'
_cell_length_a 4.644
_cell_length_b 4.644
_cell_length_c 4.644
_cell_angle_alpha 60.00
_cell_angle_beta 60.00
_cell_angle_gamma 60.00
_symmetry_space_group_name_H-M 'P 1'
_symmetry_Int_Tables_number 1
loop_
_symmetry_equiv_pos_as_xyz
'x,y,z'
loop_
_atom_site_label
_atom_site_fract_x
_atom_site_fract_y
_atom_site_fract_z
_atom_site_occupancy
P1 0.000 0.000 0.000 1
Nb1 0.250 0.250 0.250 1
Nb2 0.750 0.750 0.750 1
Sn1 0.500 0.500 0.500 1
```

Calculated values
formation energy from the elements: -0.068 eV per atom
total magnetic moment: 0.000 μB/f.u.
offset from the most stable computed form: 333 meV/atom



7.
Material: Ce3B2Rh7
Method: DFT, PBE
State: optimized geometry

Cell and atoms, written as CIF:
```
data_Ce3B2Rh7
_chemical_formula_sum 'Ce3 B2 Rh7'
_cell_length_a 4.241
_cell_length_b 4.226
_cell_length_c 10.984
_cell_angle_alpha 101.09
_cell_angle_beta 90.00
_cell_angle_gamma 90.00
_symmetry_space_group_name_H-M 'P 1'
_symmetry_Int_Tables_number 1
loop_
_symmetry_equiv_pos_as_xyz
'x,y,z'
loop_
_atom_site_label
_atom_site_fract_x
_atom_site_fract_y
_atom_site_fract_z
_atom_site_occupancy
Ce1 0.500 0.500 0.000 1
Ce2 0.500 0.690 0.380 1
Ce3 0.500 0.310 0.620 1
B1 0.000 0.897 0.794 1
B2 0.000 0.103 0.206 1
Rh1 0.000 0.404 0.808 1
Rh2 0.000 0.800 0.600 1
Rh3 0.000 0.000 0.000 1
Rh4 0.000 0.596 0.192 1
Rh5 0.500 0.095 0.191 1
Rh6 0.500 0.905 0.809 1
Rh7 0.000 0.200 0.400 1
```

Calculated values
formation energy from the elements: -0.753 eV per atom
total magnetic moment: 0.866 μB/f.u.



8.
Material: Pm6Te3Se2S
Method: DFT, PBE
State: optimized geometry

Cell and atoms, written as CIF:
```
data_Pm6Te3Se2S
_chemical_formula_sum 'Pm6 Te3 Se2 S1'
_cell_length_a 7.413
_cell_length_b 7.413
_cell_length_c 7.556
_cell_angle_alpha 99.38
_cell_angle_beta 99.38
_cell_angle_gamma 120.06
_symmetry_space_group_name_H-M 'P 1'
_symmetry_Int_Tables_number 1
loop_
_symmetry_equiv_pos_as_xyz
'x,y,z'
loop_
_atom_site_label
_atom_site_fract_x
_atom_site_fract_y
_atom_site_fract_z
_atom_site_occupancy
Pm1 0.930 0.613 0.788 1
Pm2 0.756 0.756 0.217 1
Pm3 0.070 0.387 0.212 1
Pm4 0.613 0.930 0.788 1
Pm5 0.244 0.244 0.783 1
Pm6 0.387 0.070 0.212 1
Te1 0.172 0.828 0.500 1
Te2 0.828 0.172 0.500 1
Te3 0.500 0.500 0.500 1
Se1 0.334 0.666 0.000 1
Se2 0.666 0.334 0.000 1
S1 0.000 0.000 0.000 1
```

Calculated values
formation energy (no corrections): -1673 meV per atom
total magnetic moment: 0.000 μB/f.u.



9.
Material: Zr2CoRh
Method: DFT, PBE
State: optimized geometry

Cell and atoms, written as CIF:
```
data_Zr2CoRh
_chemical_formula_sum 'Zr2 Co1 Rh1'
_cell_length_a 3.617
_cell_length_b 3.623
_cell_length_c 5.594
_cell_angle_alpha 90.00
_cell_angle_beta 90.00
_cell_angle_gamma 90.00
_symmetry_space_group_name_H-M 'P 1'
_symmetry_Int_Tables_number 1
loop_
_symmetry_equiv_pos_as_xyz
'x,y,z'
loop_
_atom_site_label
_atom_site_fract_x
_atom_site_fract_y
_atom_site_fract_z
_atom_site_occupancy
Co1 0.000 0.000 0.427 1
Rh1 0.500 0.500 0.804 1
Zr1 0.000 0.000 0.947 1
Zr2 0.500 0.500 0.322 1
```

Calculated values
formation energy from the elements: -0.316 eV per atom
total magnetic moment: 0.000 μB/f.u.
offset from the most stable computed form: 214 meV/atom



10.
Material: CaCoSi
Method: DFT, PBE
State: optimized geometry

Cell and atoms, written as CIF:
```
data_CaCoSi
_chemical_formula_sum 'Ca1 Co1 Si1'
_cell_length_a 4.594
_cell_length_b 4.594
_cell_length_c 4.594
_cell_angle_alpha 60.00
_cell_angle_beta 60.00
_cell_angle_gamma 60.00
_symmetry_space_group_name_H-M 'P 1'
_symmetry_Int_Tables_number 1
loop_
_symmetry_equiv_pos_as_xyz
'x,y,z'
loop_
_atom_site_label
_atom_site_fract_x
_atom_site_fract_y
_atom_site_fract_z
_atom_site_occupancy
Ca1 0.750 0.750 0.750 1
Co1 0.000 0.000 0.000 1
Si1 0.500 0.500 0.500 1
```

Calculated values
formation energy (no corrections): 987 meV per atom
total magnetic moment: 1.070 μB/f.u.